# 1
MnS2I | PBE | relaxed

energy relative to the elements, uncorrected = -129 kJ/mol of formula units
E above lowest polymorph = 0.000 eV/atom

a = 5.750 Å, b = 3.388 Å, c = 11.180 Å
α = 90.00°, β = 90.33°, γ = 90.00°
Space group Cm (No. 8)
Inequivalent atoms, fractional coordinates:
Mn  0.000  0.000  0.000 [2 per cell]
S  0.166  0.500  0.118 [2 per cell]
S  0.334  0.000  0.882 [2 per cell]
I  0.166  0.500  0.518 [2 per cell]


# 2
MnS8I2 | PBE | relaxed

energy relative to the elements, uncorrected = 165 kJ/mol of formula units

a = 14.601 Å, b = 5.991 Å, c = 10.485 Å
α = 90.00°, β = 130.57°, γ = 90.00°
Space group C2/m (No. 12)
Inequivalent atoms, fractional coordinates:
Mn  0.000  0.000  0.000 [2 per cell]
S  0.025  0.500  0.800 [4 per cell]
S  0.110  0.247  0.990 [8 per cell]
S  0.193  0.500  0.185 [4 per cell]
I  0.197  0.000  0.324 [4 per cell]


# 3
MnS2I | PBE | relaxed

energy relative to the elements, uncorrected = -17 kJ/mol of formula units
E above lowest polymorph = 0.290 eV/atom

a = 3.5187 Å, b = 3.5187 Å, c = 23.1247 Å
α = 90.00°, β = 90.00°, γ = 120.00°
Space group R-3m (No. 166, hexagonal axes)
Inequivalent atoms, fractional coordinates:
Mn  0.0000  0.0000  0.0000 [3 per cell]
S  0.0000  0.0000  0.3819 [6 per cell]
I  0.0000  0.0000  0.5000 [3 per cell]


# 4
MnSI3 | PBE | relaxed

energy relative to the elements, uncorrected = 360 kJ/mol of formula units
E above lowest polymorph = 0.182 eV/atom

a = 5.205 Å, b = 5.205 Å, c = 5.205 Å
α = 90.00°, β = 90.00°, γ = 90.00°
Space group Pm-3m (No. 221)
Inequivalent atoms, fractional coordinates:
Mn  0.000  0.000  0.000 [1 per cell]
S  0.500  0.500  0.500 [1 per cell]
I  0.000  0.000  0.500 [3 per cell]


# 5
MnSI | PBE | relaxed

energy relative to the elements, uncorrected = -115 kJ/mol of formula units

a = 14.526 Å, b = 3.870 Å, c = 6.383 Å
α = 90.00°, β = 108.91°, γ = 90.00°
Space group C2/m (No. 12)
Inequivalent atoms, fractional coordinates:
Mn  0.241  0.000  0.281 [4 per cell]
S  0.160  0.500  0.355 [4 per cell]
I  0.127  0.000  0.845 [4 per cell]


# 6
MnSI3 | PBE | relaxed

energy relative to the elements, uncorrected = 272 kJ/mol of formula units
E above lowest polymorph = 0.000 eV/atom

a = 5.589 Å, b = 5.589 Å, c = 5.589 Å
α = 90.00°, β = 90.00°, γ = 90.00°
Space group Pm-3m (No. 221)
Inequivalent atoms, fractional coordinates:
Mn  0.000  0.000  0.000 [1 per cell]
S  0.500  0.500  0.500 [1 per cell]
I  0.000  0.500  0.500 [3 per cell]


# 7
Mn3SI | PBE | relaxed

energy relative to the elements, uncorrected = 633 kJ/mol of formula units
E above lowest polymorph = 0.959 eV/atom

a = 4.972 Å, b = 4.972 Å, c = 4.972 Å
α = 90.00°, β = 90.00°, γ = 90.00°
Space group Pm-3m (No. 221)
Inequivalent atoms, fractional coordinates:
Mn  0.000  0.000  0.500 [3 per cell]
S  0.500  0.500  0.500 [1 per cell]
I  0.000  0.000  0.000 [1 per cell]


# 8
MnS2I | PBE | relaxed

energy relative to the elements, uncorrected = 1 kJ/mol of formula units
E above lowest polymorph = 0.336 eV/atom

a = 6.397 Å, b = 6.397 Å, c = 9.391 Å
α = 90.00°, β = 90.00°, γ = 90.00°
Space group I-42d (No. 122)
Inequivalent atoms, fractional coordinates:
Mn  0.000  0.000  0.000 [4 per cell]
S  0.106  0.250  0.125 [8 per cell]
I  0.000  0.000  0.500 [4 per cell]


# 9
Mn3SI | PBE | relaxed

energy relative to the elements, uncorrected = 170 kJ/mol of formula units
E above lowest polymorph = 0.000 eV/atom

a = 4.641 Å, b = 4.641 Å, c = 4.641 Å
α = 90.00°, β = 90.00°, γ = 90.00°
Space group Pm-3m (No. 221)
Inequivalent atoms, fractional coordinates:
Mn  0.000  0.000  0.500 [3 per cell]
S  0.000  0.000  0.000 [1 per cell]
I  0.500  0.500  0.500 [1 per cell]


# 10
MnS2I | PBE | relaxed

energy relative to the elements, uncorrected = 291 kJ/mol of formula units
E above lowest polymorph = 1.087 eV/atom

a = 3.0456 Å, b = 3.0456 Å, c = 37.4529 Å
α = 90.00°, β = 90.00°, γ = 120.00°
Space group R-3m (No. 166, hexagonal axes)
Inequivalent atoms, fractional coordinates:
Mn  0.0000  0.0000  0.0000 [3 per cell]
S  0.0000  0.0000  0.0559 [6 per cell]
I  0.0000  0.0000  0.5000 [3 per cell]


# 11
MnS2I | PBE | relaxed

energy relative to the elements, uncorrected = 266 kJ/mol of formula units
E above lowest polymorph = 1.024 eV/atom

a = 6.793 Å, b = 6.793 Å, c = 6.793 Å
α = 90.00°, β = 90.00°, γ = 90.00°
Space group Fm-3m (No. 225)
Inequivalent atoms, fractional coordinates:
Mn  0.000  0.000  0.000 [4 per cell]
S  0.250  0.250  0.250 [8 per cell]
I  0.000  0.000  0.500 [4 per cell]


# 12
MnSbSI2 | PBE | relaxed

energy relative to the elements, uncorrected = 364 kJ/mol of formula units
E above lowest polymorph = 0.189 eV/atom

a = 5.645 Å, b = 5.645 Å, c = 5.240 Å
α = 90.00°, β = 90.00°, γ = 90.00°
Space group P4/mmm (No. 123)
Inequivalent atoms, fractional coordinates:
Mn  0.000  0.000  0.000 [1 per cell]
Sb  0.500  0.500  0.000 [1 per cell]
S  0.500  0.500  0.500 [1 per cell]
I  0.000  0.500  0.500 [2 per cell]


# 13
MnSbSI2 | PBE | relaxed

energy relative to the elements, uncorrected = 273 kJ/mol of formula units
E above lowest polymorph = 0.000 eV/atom

a = 5.068 Å, b = 5.068 Å, c = 5.154 Å
α = 90.00°, β = 90.00°, γ = 90.00°
Space group P4/mmm (No. 123)
Inequivalent atoms, fractional coordinates:
Mn  0.000  0.000  0.000 [1 per cell]
Sb  0.000  0.000  0.500 [1 per cell]
S  0.500  0.500  0.500 [1 per cell]
I  0.000  0.500  0.000 [2 per cell]


# 14
Mn2VSI | PBE | relaxed

energy relative to the elements, uncorrected = 510 kJ/mol of formula units

a = 4.971 Å, b = 4.971 Å, c = 4.854 Å
α = 90.00°, β = 90.00°, γ = 90.00°
Space group P4/mmm (No. 123)
Inequivalent atoms, fractional coordinates:
Mn  0.000  0.500  0.000 [2 per cell]
V  0.000  0.000  0.000 [1 per cell]
S  0.500  0.500  0.500 [1 per cell]
I  0.000  0.000  0.500 [1 per cell]


# 15
MnZnSI2 | PBE | relaxed

energy relative to the elements, uncorrected = 168 kJ/mol of formula units

a = 5.751 Å, b = 5.751 Å, c = 4.462 Å
α = 90.00°, β = 90.00°, γ = 90.00°
Space group P4/mmm (No. 123)
Inequivalent atoms, fractional coordinates:
Mn  0.000  0.000  0.000 [1 per cell]
Zn  0.500  0.500  0.500 [1 per cell]
S  0.500  0.500  0.000 [1 per cell]
I  0.000  0.500  0.500 [2 per cell]


# 16
MnSbI3 | PBE | relaxed

energy relative to the elements, uncorrected = 190 kJ/mol of formula units
E above lowest polymorph = 0.000 eV/atom

a = 6.081 Å, b = 6.081 Å, c = 6.081 Å
α = 90.00°, β = 90.00°, γ = 90.00°
Space group Pm-3m (No. 221)
Inequivalent atoms, fractional coordinates:
Mn  0.000  0.000  0.000 [1 per cell]
Sb  0.500  0.500  0.500 [1 per cell]
I  0.000  0.500  0.500 [3 per cell]


# 17
MnSbI3 | PBE | relaxed

energy relative to the elements, uncorrected = 264 kJ/mol of formula units
E above lowest polymorph = 0.154 eV/atom

a = 5.253 Å, b = 5.253 Å, c = 5.253 Å
α = 90.00°, β = 90.00°, γ = 90.00°
Space group Pm-3m (No. 221)
Inequivalent atoms, fractional coordinates:
Mn  0.000  0.000  0.000 [1 per cell]
Sb  0.500  0.500  0.500 [1 per cell]
I  0.000  0.000  0.500 [3 per cell]


# 18
MnSbI2 | PBE | relaxed

energy relative to the elements, uncorrected = 209 kJ/mol of formula units
E above lowest polymorph = 0.000 eV/atom

a = 7.664 Å, b = 7.664 Å, c = 7.664 Å
α = 90.00°, β = 90.00°, γ = 90.00°
Space group Fm-3m (No. 225)
Inequivalent atoms, fractional coordinates:
Mn  0.000  0.000  0.000 [4 per cell]
Sb  0.000  0.000  0.500 [4 per cell]
I  0.250  0.250  0.250 [8 per cell]


# 19
MnSbI2 | PBE | relaxed

energy relative to the elements, uncorrected = 310 kJ/mol of formula units
E above lowest polymorph = 0.260 eV/atom

a = 7.220 Å, b = 7.220 Å, c = 9.780 Å
α = 90.00°, β = 90.00°, γ = 90.00°
Space group I-42d (No. 122)
Inequivalent atoms, fractional coordinates:
Mn  0.000  0.000  0.000 [4 per cell]
Sb  0.000  0.000  0.500 [4 per cell]
I  0.162  0.250  0.125 [8 per cell]


# 20
MnSbI | PBE | relaxed

energy relative to the elements, uncorrected = -14 kJ/mol of formula units

a = 6.808 Å, b = 3.979 Å, c = 7.831 Å
α = 90.00°, β = 114.34°, γ = 90.00°
Space group P2/m (No. 10)
Inequivalent atoms, fractional coordinates:
Mn  0.222  0.000  0.000 [2 per cell]
Sb  0.093  0.500  0.197 [2 per cell]
I  0.369  0.000  0.724 [2 per cell]


# 21
MnSbI5 | PBE | relaxed

energy relative to the elements, uncorrected = -201 kJ/mol of formula units

a = 11.758 Å, b = 10.144 Å, c = 11.703 Å
α = 90.00°, β = 115.73°, γ = 90.00°
Space group C2/c (No. 15)
Inequivalent atoms, fractional coordinates:
Mn  0.000  0.070  0.250 [4 per cell]
Sb  0.250  0.250  0.000 [4 per cell]
I  0.000  0.218  0.750 [4 per cell]
I  0.100  0.268  0.154 [8 per cell]
I  0.221  0.046  0.478 [8 per cell]


# 22
ScMnSb2I | PBE | relaxed

energy relative to the elements, uncorrected = 187 kJ/mol of formula units
E above lowest polymorph = 0.000 eV/atom

a = 4.887 Å, b = 4.887 Å, c = 5.589 Å
α = 90.00°, β = 90.00°, γ = 90.00°
Space group P4/mmm (No. 123)
Inequivalent atoms, fractional coordinates:
Sc  0.000  0.000  0.000 [1 per cell]
Mn  0.500  0.500  0.500 [1 per cell]
Sb  0.000  0.500  0.500 [2 per cell]
I  0.500  0.500  0.000 [1 per cell]


# 23
MnSbSeI2 | PBE | relaxed

energy relative to the elements, uncorrected = 214 kJ/mol of formula units
E above lowest polymorph = 0.000 eV/atom

a = 5.095 Å, b = 5.095 Å, c = 5.193 Å
α = 90.00°, β = 90.00°, γ = 90.00°
Space group P4/mmm (No. 123)
Inequivalent atoms, fractional coordinates:
Mn  0.000  0.000  0.000 [1 per cell]
Sb  0.000  0.000  0.500 [1 per cell]
Se  0.500  0.500  0.500 [1 per cell]
I  0.000  0.500  0.000 [2 per cell]


# 24
MnSbSeI2 | PBE | relaxed

energy relative to the elements, uncorrected = 378 kJ/mol of formula units
E above lowest polymorph = 0.342 eV/atom

a = 5.587 Å, b = 5.587 Å, c = 5.455 Å
α = 90.00°, β = 90.00°, γ = 90.00°
Space group P4/mmm (No. 123)
Inequivalent atoms, fractional coordinates:
Mn  0.000  0.000  0.000 [1 per cell]
Sb  0.500  0.500  0.000 [1 per cell]
Se  0.500  0.500  0.500 [1 per cell]
I  0.000  0.500  0.500 [2 per cell]


# 25
MnSb2SeI | PBE | relaxed

energy relative to the elements, uncorrected = 235 kJ/mol of formula units
E above lowest polymorph = 0.000 eV/atom

a = 5.014 Å, b = 5.014 Å, c = 5.071 Å
α = 90.00°, β = 90.00°, γ = 90.00°
Space group P4/mmm (No. 123)
Inequivalent atoms, fractional coordinates:
Mn  0.000  0.000  0.000 [1 per cell]
Sb  0.000  0.500  0.000 [2 per cell]
Se  0.500  0.500  0.500 [1 per cell]
I  0.000  0.000  0.500 [1 per cell]


# 26
MnSb2SeI | PBE | relaxed

energy relative to the elements, uncorrected = 428 kJ/mol of formula units
E above lowest polymorph = 0.399 eV/atom

a = 5.425 Å, b = 5.425 Å, c = 5.795 Å
α = 90.00°, β = 90.00°, γ = 90.00°
Space group P4/mmm (No. 123)
Inequivalent atoms, fractional coordinates:
Mn  0.000  0.000  0.000 [1 per cell]
Sb  0.000  0.500  0.500 [2 per cell]
Se  0.500  0.500  0.500 [1 per cell]
I  0.500  0.500  0.000 [1 per cell]


# 27
MnSiSbI2 | PBE | relaxed

energy relative to the elements, uncorrected = 327 kJ/mol of formula units
E above lowest polymorph = 0.000 eV/atom

a = 5.376 Å, b = 5.376 Å, c = 5.401 Å
α = 90.00°, β = 90.00°, γ = 90.00°
Space group P4/mmm (No. 123)
Inequivalent atoms, fractional coordinates:
Mn  0.000  0.000  0.000 [1 per cell]
Si  0.500  0.500  0.500 [1 per cell]
Sb  0.000  0.000  0.500 [1 per cell]
I  0.000  0.500  0.000 [2 per cell]


# 28
MnSiSb2I | PBE | relaxed

energy relative to the elements, uncorrected = 383 kJ/mol of formula units
E above lowest polymorph = 0.000 eV/atom

a = 4.829 Å, b = 4.829 Å, c = 5.681 Å
α = 90.00°, β = 90.00°, γ = 90.00°
Space group P4/mmm (No. 123)
Inequivalent atoms, fractional coordinates:
Mn  0.000  0.000  0.000 [1 per cell]
Si  0.500  0.500  0.500 [1 per cell]
Sb  0.000  0.500  0.000 [2 per cell]
I  0.000  0.000  0.500 [1 per cell]


Results for M_tot: 2.96 0.61 0.00 0.80 4.01 5.76 12.00 0.00 12.00 0.00 3.63 4.67 2.58 6.21 5.06 5.62 0.09 4.15 0.00 3.79 4.99 0.00 2.69 5.04 0.00 4.18 4.50 0.20 (in μB per formula unit, following the order of the records).